Here is an optimized crystal structure of Cs2FeF4 from Alexandria via LeMat-Bulk. Energies are from PBE+U.

Results
E_tot, eV/atom: -4.702
Crystal system: tetragonal
Density, Mg/m³: 3.59

Lattice parameters (Å, degrees): 6.2394 6.2394 6.2394 113.85 113.85 101.03
With the nearest neighbours (Å) after each atom.
Fractional positions:
Cs (0.7500, 0.2500, 0.5000)  8 F 3.11-3.19
Cs (0.2500, 0.7500, 0.5000)  8 F 3.11-3.19
Fe (0.5000, 0.5000, 0.0000)  4 F 1.96
F (0.7112, 0.7112, 0.4078)  1 Fe 1.96
F (0.3034, 0.3034, 0.5922)  1 Fe 1.96
F (0.6966, 0.2888, 0.0000)  1 Fe 1.96
F (0.2888, 0.6966, 0.0000)  1 Fe 1.96